This record from Alexandria via LeMat-Bulk describes an optimized crystal structure of TiP2Pd2. The functional is PBE-GGA.

Summary:
- symmetry = P4/mbm (127)
- calculated total energy (eV per atom) = -6.24
- ΔH_f (0 K) (kJ/mol of formula units) = -201
- D(E_F) (states/eV per atom) = 0.48
- size of the total moment (μB per atom) = 0.000

Lattice parameters (Å, degrees): 6.9559 6.9559 3.0965 90.00 90.00 90.00
Sites, in units of the cell vectors:
P 0.3367 0.8367 0.0000
P 0.8367 0.6633 0.0000
P 0.6633 0.1633 0.0000
P 0.1633 0.3367 0.0000
Pd 0.1453 0.6453 0.5000
Pd 0.6453 0.8547 0.5000
Pd 0.8547 0.3547 0.5000
Pd 0.3547 0.1453 0.5000
Ti 0.0000 0.0000 0.0000
Ti 0.5000 0.5000 0.0000